Record 1
Computed, not measured: a relaxed structure of AcO2F3 at the GGA-PBE level of DFT.

- uncorrected formation energy (eV per atom) = -1.772
- VASP energy (eV per atom) = -5.05
- space group = C2/c

```
AcO2F3
1.0
-3.184 0.929 -3.542
4.662 -4.581 -5.393
-1.736 -3.420 3.988
Ac O F
2 4 6
Cartesian
0.827 -1.046 -1.725
-1.085 -6.025 -3.222
-0.255 -3.489 -1.008
2.384 -5.869 -3.361
-2.642 -1.202 -1.586
-0.003 -3.582 -3.939
2.236 -3.068 -5.446
-2.495 -4.003 0.499
0.385 -5.964 -5.307
1.619 -3.377 -2.413
-1.877 -3.694 -2.534
-0.643 -1.107 0.360
```


Record 2
Computed, not measured: a relaxed structure of NaVCuIr2 at the GGA-PBE level of DFT.

- VASP energy (eV per atom) = -5.22
- space group = P4/mmm

```
NaVCuIr2
1.0
-4.336 1.159 -0.258
-0.703 -3.418 -3.541
-1.003 -3.052 3.145
Na Ir Cu V
1 2 1 1
Cartesian
-0.352 -1.709 -1.770
-0.501 -1.526 1.573
-2.168 0.580 -0.129
-3.021 -2.655 -0.327
0.000 0.000 0.000
```


Q: Which value of VASP energy does entry 1 give?
A: -5.05 eV per atom


Q: The highest VASP energy belongs to which entry?
A: AcO2F3


Q: Which value of VASP energy does entry 2 give?
A: -5.22 eV per atom


Q: The lowest VASP energy belongs to which entry?
A: NaVCuIr2